This record from the Alexandria database describes Pm6GeBi3 after structural relaxation. The functional is PBE.

Values from the calculation:
For the volume, the calculation gives 32.9 Å³/atom. Its density of states at the Fermi level is 1.08 states/eV/atom. Its formation energy is -0.54 eV per atom.

a b c (Å): 11.8946 11.8946 16.0913
angles (deg): 90.00 90.00 120.00
Closest atoms and distances in Å follow each position.
Space group R-3 (No. 148, hexagonal axes)
Unique sites:
Pm  0.0652  0.8572  0.3851 x18  1 Ge 2.87, 1 Bi 3.20, 1 Pm 3.21
Pm  0.0911  0.2244  0.1086 x18  1 Ge 2.91
Ge  0.0000  0.0000  0.0000 x3  6 Pm 2.91
Ge  0.0000  0.0000  0.5000 x3  6 Pm 2.87
Bi  0.0525  0.5701  0.3994 x18  6 Pm 3.20-3.50, 1 Bi 3.57